# TlFeTc2

A relaxed TlFeTc2 crystal (PBE-GGA, Alexandria).

Calculated total energy = -7.322 eV per atom
Theoretical density = 12.037 g cm⁻³
DFT formation energy = 568.3 meV/atom

a b c (Å): 5.1214 5.1214 5.1214
angles (deg): 142.61 128.55 65.31
Fractional coordinates of all 4 atoms:
Tl: 0.0000 0.0000 0.0000
Fe: 0.2521 0.7521 0.5000
Tc: 0.4836 0.4836 0.0000
Tc: 0.7306 0.2306 0.5000

---

# AsSeBrN2

A relaxed AsSeBrN2 crystal (PBE-GGA, Alexandria).

Calculated total energy = -3.981 eV per atom
Theoretical density = 4.825 g cm⁻³

a b c (Å): 3.7653 3.7653 6.3551
angles (deg): 90.00 90.00 90.00
Fractional coordinates of all 5 atoms:
As: 0.0000 0.0000 0.0000
Se: 0.0000 0.0000 0.5000
Br: 0.5000 0.5000 0.5000
N: 0.0000 0.5000 0.0000
N: 0.5000 0.0000 0.0000

---

# La6Sm2Dy5

A relaxed La6Sm2Dy5 crystal (PBE-GGA, Alexandria).

Calculated total energy = -4.661 eV per atom
Theoretical density = 7.096 g cm⁻³
DFT formation energy = 109.6 meV/atom

a b c (Å): 11.9164 20.8571 3.6657
angles (deg): 90.00 90.00 90.00
Fractional coordinates of all 26 atoms:
La: 0.0550 0.0789 0.0000
La: 0.0788 0.3655 0.0000
La: 0.1782 0.6303 0.5000
La: 0.3218 0.1303 0.5000
La: 0.4212 0.8655 0.0000
La: 0.4450 0.5789 0.0000
La: 0.5550 0.4211 0.0000
La: 0.5788 0.1345 0.0000
La: 0.6782 0.8697 0.5000
La: 0.8218 0.3697 0.5000
La: 0.9212 0.6345 0.0000
La: 0.9450 0.9211 0.0000
Sm: 0.1658 0.7872 0.0000
Sm: 0.3342 0.2872 0.0000
Sm: 0.6658 0.7128 0.0000
Sm: 0.8342 0.2128 0.0000
Dy: 0.0000 0.5000 0.5000
Dy: 0.0933 0.2246 0.5000
Dy: 0.2025 0.9429 0.5000
Dy: 0.2975 0.4429 0.5000
Dy: 0.4067 0.7246 0.5000
Dy: 0.5000 0.0000 0.5000
Dy: 0.5933 0.2754 0.5000
Dy: 0.7025 0.5571 0.5000
Dy: 0.7975 0.0571 0.5000
Dy: 0.9067 0.7754 0.5000

---

What is the formula in the third record? La6Sm2Dy5